# 1
Computed, not measured: a geometry-optimized HgBOs2 structure at the PBE level of DFT.

## Properties
Calculated total energy: -5.84 eV/atom

a b c (Å): 6.163 6.163 6.163
angles (deg): 90.00 90.00 90.00
Space group F-43m (No. 216)
Asymmetric unit:
Hg 0.000 0.000 0.000 x4
B 0.250 0.250 0.750 x4
Os 0.000 0.000 0.500 x4
Os 0.250 0.250 0.250 x4

---

# 2
Computed, not measured: a geometry-optimized Ag15Hg structure at the PBE level of DFT.

## Properties
Relative energy among the computed polymorphs: 0.42 eV per formula unit
E_form: 1.03 eV per formula unit
Calculated total energy: -2.60 eV/atom

a b c (Å): 8.112 2.915 34.154
angles (deg): 90.00 90.04 90.00
Space group P2_1/m (No. 11)
Asymmetric unit:
Ag 0.122 0.250 0.283 x2
Ag 0.125 0.250 0.022 x2
Ag 0.125 0.250 0.108 x2
Ag 0.125 0.250 0.195 x2
Ag 0.125 0.250 0.762 x2
Ag 0.125 0.250 0.849 x2
Ag 0.125 0.250 0.935 x2
Ag 0.372 0.750 0.717 x2
Ag 0.375 0.750 0.065 x2
Ag 0.375 0.750 0.152 x2
Ag 0.375 0.750 0.239 x2
Ag 0.375 0.750 0.324 x2
Ag 0.375 0.750 0.805 x2
Ag 0.375 0.750 0.892 x2
Ag 0.375 0.750 0.978 x2
Hg 0.125 0.250 0.665 x2

---

# 3
Computed, not measured: a geometry-optimized ScCoGe2 structure at the PBE level of DFT.

## Properties
Calculated total energy: -6.26 eV/atom

a b c (Å): 9.170 10.117 7.962
angles (deg): 90.00 90.00 90.00
Space group Pbam (No. 55)
Asymmetric unit:
Sc 0.164 0.178 0.000 x4
Sc 0.174 0.452 0.239 x8
Co 0.000 0.000 0.247 x4
Co 0.089 0.745 0.253 x8
Ge 0.041 0.623 0.000 x4
Ge 0.041 0.623 0.500 x4
Ge 0.127 0.896 0.000 x4
Ge 0.127 0.904 0.500 x4
Ge 0.159 0.180 0.343 x8

---

# 4
Computed, not measured: a geometry-optimized ZrAlCuOs structure at the PBE level of DFT.

## Properties
Relative energy among the computed polymorphs: 1.36 eV per formula unit
Calculated total energy: -6.81 eV/atom

a b c (Å): 6.356 6.356 6.356
angles (deg): 90.00 90.00 90.00
Space group F-43m (No. 216)
Asymmetric unit:
Zr 0.000 0.000 0.000 x4
Al 0.250 0.250 0.250 x4
Cu 0.000 0.000 0.500 x4
Os 0.250 0.250 0.750 x4

---

# 5
Computed, not measured: a geometry-optimized MgInCuTc structure at the PBE level of DFT.

## Properties
Relative energy among the computed polymorphs: 0.00 eV per formula unit
Calculated total energy: -4.37 eV/atom

a b c (Å): 6.393 6.393 6.393
angles (deg): 90.00 90.00 90.00
Space group F-43m (No. 216)
Asymmetric unit:
Mg 0.000 0.000 0.000 x4
In 0.000 0.000 0.500 x4
Cu 0.250 0.250 0.750 x4
Tc 0.250 0.250 0.250 x4

---

# 6
Computed, not measured: a geometry-optimized TlAgTe2IrSe structure at the PBE level of DFT.

## Properties
Calculated total energy: -4.00 eV/atom

a b c (Å): 4.045 14.028 10.745
angles (deg): 90.00 90.00 90.00
Space group Cmcm (No. 63)
Asymmetric unit:
Tl 0.000 0.249 0.250 x4
Ag 0.000 0.084 0.750 x4
Te 0.000 0.125 0.503 x8
Ir 0.000 0.500 0.000 x4
Se 0.000 0.453 0.750 x4

---

# 7
Computed, not measured: a geometry-optimized ZnCuSbMo structure at the PBE level of DFT.

## Properties
Relative energy among the computed polymorphs: 1.02 eV per formula unit
Calculated total energy: -4.34 eV/atom

a b c (Å): 6.521 6.521 6.521
angles (deg): 90.00 90.00 90.00
Space group F-43m (No. 216)
Asymmetric unit:
Zn 0.000 0.000 0.000 x4
Cu 0.000 0.000 0.500 x4
Sb 0.250 0.250 0.250 x4
Mo 0.250 0.250 0.750 x4

---

# 8
Computed, not measured: a geometry-optimized CdGe structure at the PBE level of DFT.

## Properties
Calculated total energy: -2.46 eV/atom

a b c (Å): 5.680 5.680 5.680
angles (deg): 90.00 90.00 90.00
Space group Fm-3m (No. 225)
Asymmetric unit:
Cd 0.000 0.000 0.000 x4
Ge 0.000 0.000 0.500 x4

---

# 9
Computed, not measured: a geometry-optimized DyHo2Sc3CuTe2 structure at the PBE level of DFT.

## Properties
Calculated total energy: -5.41 eV/atom

a b c (Å): 3.954 13.823 7.980
angles (deg): 90.00 90.00 90.00
Space group Amm2 (No. 38)
Asymmetric unit:
Dy 0.000 0.000 0.000 x2
Ho 0.000 0.198 0.593 x4
Sc 0.500 0.000 0.632 x2
Sc 0.500 0.118 0.277 x4
Cu 0.000 0.000 0.396 x2
Te 0.500 0.167 0.896 x4

---

# 10
Computed, not measured: a geometry-optimized ZnBi2S4 structure at the PBE level of DFT.

## Properties
Calculated total energy: -4.11 eV/atom

a b c (Å): 13.015 4.026 14.365
angles (deg): 90.00 116.46 90.00
Space group C2/m (No. 12)
Asymmetric unit:
Zn 0.000 0.000 0.000 x2
Zn 0.000 0.000 0.500 x2
Bi 0.149 0.500 0.362 x4
Bi 0.222 0.000 0.871 x4
S 0.008 0.000 0.663 x4
S 0.107 0.500 0.937 x4
S 0.152 0.000 0.166 x4
S 0.169 0.500 0.552 x4

---

# 11
Computed, not measured: a geometry-optimized LiCu3PbSe4 structure at the PBE level of DFT.

## Properties
Calculated total energy: -3.52 eV/atom

a b c (Å): 5.892 5.892 5.892
angles (deg): 90.00 90.00 90.00
Space group P-43m (No. 215)
Asymmetric unit:
Li 0.000 0.000 0.000 x1
Cu 0.000 0.500 0.500 x3
Pb 0.500 0.500 0.500 x1
Se 0.236 0.236 0.236 x4

---

# 12
Computed, not measured: a geometry-optimized Tb12Os5C15 structure at the PBE level of DFT.

## Properties
Calculated total energy: -8.16 eV/atom

a b c (Å): 10.7505 10.7505 5.1127
angles (deg): 90.00 90.00 120.00
Space group P-62m (No. 189)
Asymmetric unit:
Tb 0.0000 0.4348 0.0000 x3
Tb 0.0000 0.7936 0.0000 x3
Tb 0.1833 0.7274 0.5000 x6
Os 0.0000 0.1609 0.5000 x3
Os 0.3333 0.6667 0.0000 x2
C 0.0000 0.3354 0.5000 x3
C 0.0000 0.4600 0.5000 x3
C 0.0000 0.7930 0.5000 x3
C 0.1848 0.7162 0.0000 x6